Material: CoPb2Se
Method: DFT, GGA-PBE
State: optimized geometry

a b c (Å): 5.5583 5.5583 5.5583
angles (deg): 131.14 131.14 71.59
With the nearest neighbours (Å) after each atom.
Atoms (fractional coordinates):
Pb: 0.5000 0.5000 0.0000  4 Se 3.22, 4 Co 3.22, 4 Pb 3.25
Pb: 0.0000 0.0000 0.0000  4 Co 3.22, 4 Se 3.22, 4 Pb 3.25
Se: 0.2500 0.7500 0.5000  8 Pb 3.22, 4 Co 3.25
Co: 0.7500 0.2500 0.5000  8 Pb 3.22, 4 Se 3.25

## Properties
Space group ... No. 139
Raw formation energy ... 0.444 eV per atom
Uncorrected energy ... -16.23 eV per cell
Calculated volume ... 23.82 Å³/atom
DOS at the Fermi energy ... 0.94 states/eV per atom
Density ... 9.6 Mg/m³